A plane-wave DFT calculation with PBE was carried out for MgTlSeF2 after structural relaxation.

abc: 4.0307 4.0307 5.7033
angles: 90.00 90.00 90.00
Last column: nearest neighbours and their distance in Å.
Fractional coordinates of all 5 atoms:
Tl: 0.5000 0.5000 0.5000  4 Se 2.85
Se: 0.0000 0.0000 0.5000  4 Tl 2.85, 2 Mg 2.85
F: 0.0000 0.5000 0.0000  2 Mg 2.02
Mg: 0.0000 0.0000 0.0000  4 F 2.02
F: 0.5000 0.0000 0.0000  2 Mg 2.02

Computed properties:
Formation energy from raw total energies in eV/atom: -2.03



A plane-wave DFT calculation with PBE was carried out for ZrMnPd2Au after structural relaxation.

abc: 4.8825 4.6645 4.8825
angles: 90.00 90.00 90.00
Last column: nearest neighbours and their distance in Å.
Fractional coordinates of all 5 atoms:
Zr: 0.0000 0.0000 0.0000  2 Mn 2.33, 4 Pd 2.44
Pd: 0.0000 0.0000 0.5000  2 Zr 2.44
Au: 0.5000 0.5000 0.5000  8 Pd 3.38, 4 Mn 3.45
Mn: 0.0000 0.5000 0.0000  2 Zr 2.33
Pd: 0.5000 0.0000 0.0000  2 Zr 2.44

Computed properties:
Energy of formation in eV per atom: 0.9612



A plane-wave DFT calculation with PBE was carried out for Sc5As2Pb2 after structural relaxation.

abc: 7.5054 7.5609 8.0955
angles: 117.84 90.00 90.00
Last column: nearest neighbours and their distance in Å.
Fractional coordinates of all 18 atoms:
As: 0.6468 0.8529 0.0000  8 Sc 2.71-2.89
Pb: 0.5000 0.2906 0.5813  7 Sc 2.95-3.12
Pb: 0.0000 0.2094 0.4187  7 Sc 2.95-3.12
Sc: 0.0000 0.0000 0.0000  4 As 2.87-2.89, 2 Pb 3.00
Sc: 0.8413 0.5357 0.7571  3 As 2.71-2.88, 1 Pb 2.95
Pb: 0.5000 0.7094 0.4187  7 Sc 2.95-3.12
As: 0.1468 0.6471 0.0000  8 Sc 2.71-2.89
Sc: 0.8413 0.7786 0.2429  3 As 2.71-2.88, 1 Pb 2.95
Sc: 0.5000 0.5000 0.0000  4 As 2.87-2.89, 2 Pb 3.00
As: 0.3532 0.1471 0.0000  8 Sc 2.71-2.89
Sc: 0.1587 0.4643 0.2429  3 As 2.71-2.88, 1 Pb 2.95
Sc: 0.1587 0.2214 0.7571  3 As 2.71-2.88, 1 Pb 2.95
Pb: 0.0000 0.7906 0.5813  7 Sc 2.95-3.12
Sc: 0.6587 0.0357 0.7571  3 As 2.71-2.88, 1 Pb 2.95
As: 0.8532 0.3529 0.0000  8 Sc 2.71-2.89
Sc: 0.6587 0.2786 0.2429  3 As 2.71-2.88, 1 Pb 2.95
Sc: 0.3413 0.9643 0.2429  3 As 2.71-2.88, 1 Pb 2.95
Sc: 0.3413 0.7214 0.7571  3 As 2.71-2.88, 1 Pb 2.95

Computed properties:
Energy of formation in eV per atom: -0.8193



| no. | size of the total moment (μB per formula unit) |
| --- | --- |
| 1 | 0.0 |
| 2 | 2.6 |
| 3 | 0.0 |